# Cd3PtRh2

Cd3PtRh2 after structural relaxation (PBE, Alexandria).

```
6
Lattice="2.246 -6.737 0.000 2.246 6.737 0.000 0.000 0.000 3.391" Properties=species:S:1:pos:R:3 pbc="T T T"
Cd 0.000 0.000 0.000
Cd 2.246 2.271 0.000
Cd 2.246 -2.271 0.000
Pt 2.246 0.000 1.695
Rh 2.246 4.506 1.695
Rh 2.246 -4.506 1.695
```

Calculated values
- Size of the total moment: 0.0 μB per cell
- Formation energy: -0.153 eV per atom
- Energy: -24.41 eV per cell
- Fermi-level density of states: 0.4955 states/eV per atom

***

# CdPt2Rh

CdPt2Rh after structural relaxation (PBE, Alexandria).

```
4
Lattice="1.418 0.819 9.291 -1.418 0.819 9.291 0.000 -1.637 9.291" Properties=species:S:1:pos:R:3 pbc="T T T"
Cd 0.000 0.000 0.000
Pt 0.000 0.000 6.894
Pt 0.000 0.000 20.980
Rh 0.000 0.000 13.937
```

Calculated values
- Size of the total moment: 1.3 μB per cell
- Formation energy: -0.060 eV per atom
- Energy: -20.59 eV per cell
- Fermi-level density of states: 0.9746 states/eV per atom